Record 1
DFT (PBE) results for crystalline TiReTcGe at its relaxed geometry.

## Properties
M_tot: 0.00 μB per formula unit
Density of states at the Fermi level: 4.37 states/eV/f.u.
V: 14.7 Å³/atom
Mass density: 11.44 g cm⁻³
Energy of formation: -0.23 eV per atom

a = 4.3641 Å, b = 4.3641 Å, c = 4.3641 Å
α = 60.00°, β = 60.00°, γ = 60.00°
Element x y z (fractional)
Ti 0.0000 0.0000 0.0000
Re 0.7500 0.7500 0.7500
Tc 0.2500 0.2500 0.2500
Ge 0.5000 0.5000 0.5000

=====

Record 2
DFT (PBE) results for crystalline UReTcGe at its relaxed geometry.

## Properties
M_tot: 0.52 μB per formula unit
Density of states at the Fermi level: 4.06 states/eV/f.u.
V: 17.2 Å³/atom
Mass density: 14.37 g cm⁻³
Energy of formation: 0.07 eV per atom

a = 4.5984 Å, b = 4.5984 Å, c = 4.5984 Å
α = 60.00°, β = 60.00°, γ = 60.00°
Element x y z (fractional)
U 0.0000 0.0000 0.0000
Re 0.7500 0.7500 0.7500
Tc 0.2500 0.2500 0.2500
Ge 0.5000 0.5000 0.5000

=====

Record 3
DFT (PBE) results for crystalline ReTcGeW at its relaxed geometry.

## Properties
M_tot: 0.00 μB per formula unit
Density of states at the Fermi level: 2.69 states/eV/f.u.
V: 15.0 Å³/atom
Mass density: 14.97 g cm⁻³
Energy of formation: 0.09 eV per atom

a = 4.3936 Å, b = 4.3936 Å, c = 4.3936 Å
α = 60.00°, β = 60.00°, γ = 60.00°
Element x y z (fractional)
Re 0.0000 0.0000 0.0000
Tc 0.5000 0.5000 0.5000
Ge 0.2500 0.2500 0.2500
W 0.7500 0.7500 0.7500

=====

Record 4
DFT (PBE) results for crystalline ReGeTe2 at its relaxed geometry.

## Properties
M_tot: 0.00 μB per formula unit
Density of states at the Fermi level: 4.56 states/eV/f.u.
V: 30.5 Å³/atom
Uncorrected formation energy: 2.72 eV/f.u.
Mass density: 6.99 g cm⁻³

a = 7.4281 Å, b = 7.4281 Å, c = 7.4281 Å
α = 128.50°, β = 128.50°, γ = 75.82°
Element x y z (fractional)
Re 0.0000 0.0000 0.0000
Re 0.7500 0.2500 0.5000
Ge 0.2500 0.7500 0.5000
Ge 0.5000 0.5000 0.0000
Te 0.0869 0.6250 0.9619
Te 0.3750 0.3369 0.4619
Te 0.6631 0.1250 0.0381
Te 0.8750 0.9131 0.5381

=====

Record 5
DFT (PBE) results for crystalline ReGeTe2 at its relaxed geometry.

## Properties
M_tot: 0.00 μB per formula unit
Density of states at the Fermi level: 3.70 states/eV/f.u.
V: 23.9 Å³/atom
Uncorrected formation energy: 3.54 eV/f.u.
Mass density: 8.92 g cm⁻³

a = 12.2152 Å, b = 12.2152 Å, c = 12.2152 Å
α = 14.21°, β = 14.21°, γ = 14.21°
Element x y z (fractional)
Re 0.0000 0.0000 0.0000
Ge 0.5000 0.5000 0.5000
Te 0.0740 0.0740 0.0740
Te 0.9260 0.9260 0.9260

=====

Record 6
DFT (PBE) results for crystalline ReGeTe at its relaxed geometry.

## Properties
M_tot: 0.00 μB per formula unit
Density of states at the Fermi level: 2.24 states/eV/f.u.
V: 20.4 Å³/atom
Uncorrected formation energy: 0.53 eV/f.u.
Mass density: 10.46 g cm⁻³

a = 6.1574 Å, b = 6.7392 Å, c = 6.6450 Å
α = 90.00°, β = 117.14°, γ = 90.00°
Element x y z (fractional)
Re 0.2330 0.0021 0.4982
Re 0.2330 0.4979 0.9982
Re 0.7670 0.5021 0.0018
Re 0.7670 0.9979 0.5018
Ge 0.1492 0.6720 0.2986
Ge 0.1492 0.8280 0.7986
Ge 0.8508 0.1720 0.2014
Ge 0.8508 0.3280 0.7014
Te 0.3385 0.1129 0.1628
Te 0.3385 0.3871 0.6628
Te 0.6615 0.6129 0.3372
Te 0.6615 0.8871 0.8372

=====

Record 7
DFT (PBE) results for crystalline ReGeTe2 at its relaxed geometry.

## Properties
M_tot: 0.00 μB per formula unit
Density of states at the Fermi level: 2.61 states/eV/f.u.
V: 24.4 Å³/atom
Uncorrected formation energy: 2.04 eV/f.u.
Mass density: 8.73 g cm⁻³

a = 10.0558 Å, b = 10.0558 Å, c = 10.0558 Å
α = 19.36°, β = 19.36°, γ = 19.36°
Element x y z (fractional)
Re 0.0000 0.0000 0.0000
Ge 0.5000 0.5000 0.5000
Te 0.3979 0.3979 0.3979
Te 0.6021 0.6021 0.6021

=====

Record 8
DFT (PBE) results for crystalline ReGeTe3 at its relaxed geometry.

## Properties
M_tot: 0.00 μB per formula unit
Density of states at the Fermi level: 6.92 states/eV/f.u.
V: 28.8 Å³/atom
Uncorrected formation energy: 4.14 eV/f.u.
Energy above the lowest structure with this stoichiometry: 0.000 eV per atom
Mass density: 7.39 g cm⁻³

a = 5.2440 Å, b = 5.2440 Å, c = 5.2440 Å
α = 90.00°, β = 90.00°, γ = 90.00°
Element x y z (fractional)
Re 0.0000 0.0000 0.0000
Ge 0.5000 0.5000 0.5000
Te 0.0000 0.0000 0.5000
Te 0.0000 0.5000 0.0000
Te 0.5000 0.0000 0.0000

=====

Record 9
DFT (PBE) results for crystalline ReGeTe3 at its relaxed geometry.

## Properties
M_tot: 0.00 μB per formula unit
Density of states at the Fermi level: 4.58 states/eV/f.u.
V: 27.4 Å³/atom
Uncorrected formation energy: 8.30 eV/f.u.
Energy above the lowest structure with this stoichiometry: 0.833 eV per atom
Mass density: 7.77 g cm⁻³

a = 5.1558 Å, b = 5.1558 Å, c = 5.1558 Å
α = 90.00°, β = 90.00°, γ = 90.00°
Element x y z (fractional)
Re 0.0000 0.0000 0.0000
Ge 0.5000 0.5000 0.5000
Te 0.0000 0.5000 0.5000
Te 0.5000 0.0000 0.5000
Te 0.5000 0.5000 0.0000

=====

Record 10
DFT (PBE) results for crystalline YReGe2Te at its relaxed geometry.

## Properties
M_tot: 2.43 μB per formula unit
Density of states at the Fermi level: 5.97 states/eV/f.u.
V: 30.3 Å³/atom
Uncorrected formation energy: 7.60 eV/f.u.
Mass density: 6.01 g cm⁻³

a = 5.3710 Å, b = 5.3710 Å, c = 5.2509 Å
α = 90.00°, β = 90.00°, γ = 90.00°
Element x y z (fractional)
Y 0.0000 0.0000 0.0000
Re 0.0000 0.0000 0.5000
Ge 0.0000 0.5000 0.0000
Ge 0.5000 0.0000 0.0000
Te 0.5000 0.5000 0.5000

=====

Record 11
DFT (PBE) results for crystalline ThReGe4 at its relaxed geometry.

## Properties
M_tot: 0.00 μB per formula unit
Density of states at the Fermi level: 4.45 states/eV/f.u.
V: 20.8 Å³/atom
Mass density: 9.42 g cm⁻³
Energy of formation: -0.12 eV per atom

a = 6.3909 Å, b = 6.5099 Å, c = 6.9053 Å
α = 86.84°, β = 89.98°, γ = 60.62°
Element x y z (fractional)
Th 0.0936 0.4981 0.2505
Th 0.9064 0.5019 0.7495
Re 0.0000 0.0000 0.5000
Re 0.5000 0.0000 0.0000
Ge 0.1354 0.0011 0.1501
Ge 0.3212 0.6010 0.5925
Ge 0.3626 0.0028 0.6498
Ge 0.4211 0.3997 0.9077
Ge 0.5789 0.6003 0.0923
Ge 0.6374 0.9972 0.3502
Ge 0.6788 0.3990 0.4075
Ge 0.8646 0.9989 0.8499

=====

Record 12
DFT (PBE) results for crystalline ThReGe2 at its relaxed geometry.

## Properties
M_tot: 0.00 μB per formula unit
Density of states at the Fermi level: 2.22 states/eV/f.u.
V: 19.1 Å³/atom
Mass density: 12.27 g cm⁻³
Energy of formation: -0.12 eV per atom

a = 4.7493 Å, b = 4.7493 Å, c = 4.7493 Å
α = 60.30°, β = 60.30°, γ = 60.30°
Element x y z (fractional)
Th 0.0000 0.0000 0.0000
Re 0.5000 0.5000 0.5000
Ge 0.2509 0.2509 0.2509
Ge 0.7491 0.7491 0.7491

=====

Record 13
DFT (PBE) results for crystalline Th2ReGe at its relaxed geometry.

## Properties
M_tot: 0.00 μB per formula unit
Density of states at the Fermi level: 4.15 states/eV/f.u.
V: 24.6 Å³/atom
Mass density: 12.20 g cm⁻³
Energy of formation: 0.56 eV per atom

a = 10.4804 Å, b = 10.4804 Å, c = 10.4804 Å
α = 18.23°, β = 18.23°, γ = 18.23°
Element x y z (fractional)
Th 0.0842 0.0842 0.0842
Th 0.9158 0.9158 0.9158
Re 0.0000 0.0000 0.0000
Ge 0.5000 0.5000 0.5000

=====

Record 14
DFT (PBE) results for crystalline Th3ReGe2 at its relaxed geometry.

## Properties
M_tot: 0.00 μB per formula unit
Density of states at the Fermi level: 5.41 states/eV/f.u.
V: 25.4 Å³/atom
Mass density: 11.21 g cm⁻³
Energy of formation: -0.49 eV per atom

a = 12.0942 Å, b = 4.3735 Å, c = 11.5129 Å
α = 90.00°, β = 90.00°, γ = 90.00°
Element x y z (fractional)
Th 0.0526 0.2500 0.1243
Th 0.1212 0.7500 0.5600
Th 0.2222 0.2500 0.7984
Th 0.2778 0.7500 0.2984
Th 0.3788 0.2500 0.0600
Th 0.4474 0.7500 0.6243
Th 0.5526 0.2500 0.3757
Th 0.6212 0.7500 0.9400
Th 0.7222 0.2500 0.7016
Th 0.7778 0.7500 0.2016
Th 0.8788 0.2500 0.4400
Th 0.9474 0.7500 0.8757
Re 0.1280 0.2500 0.3656
Re 0.3720 0.7500 0.8656
Re 0.6280 0.2500 0.1344
Re 0.8720 0.7500 0.6344
Ge 0.0142 0.7500 0.3133
Ge 0.1940 0.7500 0.0041
Ge 0.3060 0.2500 0.5041
Ge 0.4858 0.2500 0.8133
Ge 0.5142 0.7500 0.1867
Ge 0.6940 0.7500 0.4959
Ge 0.8060 0.2500 0.9959
Ge 0.9858 0.2500 0.6867

=====

Record 15
DFT (PBE) results for crystalline ThReGe at its relaxed geometry.

## Properties
M_tot: 0.00 μB per formula unit
Density of states at the Fermi level: 2.03 states/eV/f.u.
V: 22.7 Å³/atom
Mass density: 11.99 g cm⁻³
Energy of formation: -0.01 eV per atom

a = 9.6596 Å, b = 9.6596 Å, c = 3.7686 Å
α = 90.00°, β = 90.00°, γ = 157.25°
Element x y z (fractional)
Th 0.1157 0.8843 0.7500
Th 0.8843 0.1157 0.2500
Re 0.2506 0.7494 0.2500
Re 0.7494 0.2506 0.7500
Ge 0.4585 0.5415 0.7500
Ge 0.5415 0.4585 0.2500

=====

Record 16
DFT (PBE) results for crystalline ThReGe at its relaxed geometry.

## Properties
M_tot: 0.00 μB per formula unit
Density of states at the Fermi level: 2.19 states/eV/f.u.
V: 21.8 Å³/atom
Mass density: 12.47 g cm⁻³
Energy of formation: -0.20 eV per atom

a = 4.4195 Å, b = 4.4195 Å, c = 3.8647 Å
α = 90.00°, β = 90.00°, γ = 120.00°
Element x y z (fractional)
Th 0.0000 0.0000 0.0000
Re 0.6667 0.3333 0.5000
Ge 0.3333 0.6667 0.5000

=====

Record 17
DFT (PBE) results for crystalline TiReGe2 at its relaxed geometry.

## Properties
M_tot: 0.00 μB per formula unit
Density of states at the Fermi level: 3.56 states/eV/f.u.
V: 16.7 Å³/atom
Energy above the lowest structure with this stoichiometry: 0.267 eV per atom
Mass density: 9.42 g cm⁻³
Energy of formation: 0.18 eV per atom

a = 9.6485 Å, b = 9.6485 Å, c = 9.6485 Å
α = 157.30°, β = 157.30°, γ = 32.32°
Element x y z (fractional)
Ti 0.0000 0.0000 0.0000
Ti 0.7500 0.2500 0.5000
Re 0.2500 0.7500 0.5000
Re 0.5000 0.5000 0.0000
Ge 0.1170 0.6250 0.9920
Ge 0.3750 0.3670 0.4920
Ge 0.6330 0.1250 0.0080
Ge 0.8750 0.8830 0.5080

=====

Record 18
DFT (PBE) results for crystalline Ti12ReGe6 at its relaxed geometry.

## Properties
M_tot: 0.00 μB per formula unit
Density of states at the Fermi level: 19.19 states/eV/f.u.
V: 16.2 Å³/atom
Mass density: 6.46 g cm⁻³
Energy of formation: -0.38 eV per atom

a = 7.5381 Å, b = 7.5381 Å, c = 7.5381 Å
α = 111.16°, β = 111.16°, γ = 111.16°
Element x y z (fractional)
Ti 0.0486 0.1820 0.3097
Ti 0.1820 0.3097 0.0486
Ti 0.2248 0.6805 0.5912
Ti 0.3097 0.0486 0.1820
Ti 0.3195 0.4088 0.7752
Ti 0.4088 0.7752 0.3195
Ti 0.5912 0.2248 0.6805
Ti 0.6805 0.5912 0.2248
Ti 0.6903 0.9514 0.8180
Ti 0.7752 0.3195 0.4088
Ti 0.8180 0.6903 0.9514
Ti 0.9514 0.8180 0.6903
Re 0.5000 0.5000 0.5000
Ge 0.0897 0.5838 0.8701
Ge 0.1299 0.9103 0.4162
Ge 0.4162 0.1299 0.9103
Ge 0.5838 0.8701 0.0897
Ge 0.8701 0.0897 0.5838
Ge 0.9103 0.4162 0.1299

=====

Record 19
DFT (PBE) results for crystalline TiReGe at its relaxed geometry.

## Properties
M_tot: 0.00 μB per formula unit
Density of states at the Fermi level: 2.54 states/eV/f.u.
V: 15.5 Å³/atom
Energy above the lowest structure with this stoichiometry: 0.282 eV per atom
Mass density: 10.92 g cm⁻³
Energy of formation: -0.18 eV per atom

a = 7.7464 Å, b = 7.7464 Å, c = 4.2878 Å
α = 90.00°, β = 90.00°, γ = 158.75°
Element x y z (fractional)
Ti 0.1102 0.8898 0.7500
Ti 0.8898 0.1102 0.2500
Re 0.2820 0.7180 0.7500
Re 0.7180 0.2820 0.2500
Ge 0.4482 0.5518 0.7500
Ge 0.5518 0.4482 0.2500

=====

Record 20
DFT (PBE) results for crystalline Ti4ReGe4 at its relaxed geometry.

## Properties
M_tot: 0.00 μB per formula unit
Density of states at the Fermi level: 7.29 states/eV/f.u.
V: 17.5 Å³/atom
Mass density: 7.05 g cm⁻³
Energy of formation: -0.04 eV per atom

a = 6.1087 Å, b = 6.1087 Å, c = 6.1087 Å
α = 100.10°, β = 100.10°, γ = 130.48°
Element x y z (fractional)
Ti 0.1023 0.7289 0.8312
Ti 0.2711 0.1023 0.3734
Ti 0.7289 0.8977 0.6266
Ti 0.8977 0.2711 0.1688
Re 0.5000 0.5000 0.0000
Ge 0.1930 0.4153 0.6082
Ge 0.4153 0.8070 0.2223
Ge 0.5847 0.1930 0.7777
Ge 0.8070 0.5847 0.3918